No. 1
The following is a DFT calculation (PBE) of crystalline Sr2Sn4Pd3Pt at its relaxed geometry.

Cell: 4.6362 4.6362 11.0481 Å, 90.00 90.00 90.00°
With the nearest neighbours (Å) after each atom.
Fractional coordinates of all 10 atoms:
Pd1 0.5000 0.0000 0.8662  5 Sn 2.68-2.75
Pd2 0.0000 0.0000 0.5000  4 Sn 2.69
Pd3 0.0000 0.5000 0.1338  5 Sn 2.68-2.75
Pt1 0.5000 0.5000 0.5000  4 Sn 2.69
Sn1 0.5000 0.5000 0.0000  4 Pd 2.75
Sn2 0.0000 0.0000 0.0000  4 Pd 2.75
Sn3 0.5000 0.0000 0.6236  3 Pd 2.68-2.69, 2 Pt 2.69
Sn4 0.0000 0.5000 0.3764  3 Pd 2.68-2.69, 2 Pt 2.69
Sr1 0.5000 0.0000 0.2551  8 Sn 3.54-3.65, 6 Pd 3.54-3.56, 2 Pt 3.56
Sr2 0.0000 0.5000 0.7449  8 Sn 3.54-3.65, 6 Pd 3.54-3.56, 2 Pt 3.56

Values from the calculation:
- Fermi-level density of states: 5.06 states/eV/f.u.
- Space-group type: No. 115
- Formation energy from the elements: -0.734 eV per atom

***

No. 2
The following is a DFT calculation (PBE) of crystalline SiAsBr3 at its relaxed geometry.

Cell: 5.2400 5.2400 5.2400 Å, 90.00 90.00 90.00°
With the nearest neighbours (Å) after each atom.
Fractional coordinates of all 5 atoms:
Br1 0.0000 0.0000 0.5000  2 Si 2.62
Br2 0.5000 0.0000 0.0000  2 Si 2.62
Br3 0.0000 0.5000 0.0000  2 Si 2.62
As1 0.5000 0.5000 0.5000  12 Br 3.71
Si1 0.0000 0.0000 0.0000  6 Br 2.62

Values from the calculation:
- Fermi-level density of states: 5.30 states/eV/f.u.
- Space-group type: No. 221
- Raw formation energy: 0.31 eV per atom
- Polymorph energy (0 for the lowest one): 0 meV/atom

***

No. 3
The following is a DFT calculation (PBE) of crystalline TbSm4Er3 at its relaxed geometry.

Cell: 6.2907 7.2886 11.4122 Å, 90.00 90.00 90.00°
With the nearest neighbours (Å) after each atom.
Fractional coordinates of all 16 atoms:
Er1 0.4808 0.3780 0.7500  4 Er 3.52-3.61, 2 Tb 3.53-3.54, 6 Sm 3.54-3.68
Er2 0.9808 0.6220 0.7500  4 Er 3.52-3.61, 2 Tb 3.53-3.54, 6 Sm 3.54-3.68
Er3 0.1481 0.3784 0.5000  4 Er 3.52-3.54, 6 Sm 3.54-3.69, 2 Tb 3.61-3.62
Er4 0.9808 0.6220 0.2500  4 Er 3.52-3.61, 2 Tb 3.53-3.54, 6 Sm 3.54-3.68
Er5 0.6481 0.6216 0.0000  4 Er 3.52-3.54, 6 Sm 3.54-3.69, 2 Tb 3.61-3.62
Er6 0.4808 0.3780 0.2500  4 Er 3.52-3.61, 2 Tb 3.53-3.54, 6 Sm 3.54-3.68
Sm1 0.6487 0.1277 0.0000  4 Er 3.55-3.69, 6 Sm 3.55-3.67, 2 Tb 3.63
Sm2 0.9814 0.1270 0.2512  5 Er 3.54-3.68, 6 Sm 3.54-3.65, 1 Tb 3.56
Sm3 0.9814 0.1270 0.7488  5 Er 3.54-3.68, 6 Sm 3.54-3.65, 1 Tb 3.56
Sm4 0.1456 0.8722 0.0000  6 Sm 3.54-3.67, 4 Er 3.54-3.65, 2 Tb 3.61-3.68
Sm5 0.4814 0.8730 0.7512  5 Er 3.54-3.68, 6 Sm 3.54-3.65, 1 Tb 3.56
Sm6 0.4814 0.8730 0.2488  5 Er 3.54-3.68, 6 Sm 3.54-3.65, 1 Tb 3.56
Sm7 0.6456 0.1278 0.5000  6 Sm 3.54-3.67, 4 Er 3.54-3.65, 2 Tb 3.61-3.68
Sm8 0.1487 0.8723 0.5000  4 Er 3.55-3.69, 6 Sm 3.55-3.67, 2 Tb 3.63
Tb1 0.6484 0.6228 0.5000  6 Er 3.53-3.62, 6 Sm 3.56-3.68
Tb2 0.1484 0.3772 0.0000  6 Er 3.53-3.62, 6 Sm 3.56-3.68

Values from the calculation:
- Fermi-level density of states: 14.33 states/eV/f.u.
- Space-group type: No. 31
- Polymorph energy (0 for the lowest one): 0 meV/atom
- Formation energy from the elements: 0.021 eV per atom

***

No. 4
The following is a DFT calculation (PBE) of crystalline Ac5Er2Ge5 at its relaxed geometry.

Cell: 4.4749 7.7144 12.7085 Å, 107.25 90.00 106.86°
With the nearest neighbours (Å) after each atom.
Fractional coordinates of all 12 atoms:
Ac1 0.5000 0.0000 0.5000  4 Ge 3.19
Ac2 0.3416 0.6832 0.9519  5 Ge 3.16-3.47
Ac3 0.7424 0.4847 0.3539  5 Ge 3.11-3.40
Ac4 0.6584 0.3168 0.0481  5 Ge 3.16-3.47
Ac5 0.2576 0.5153 0.6461  5 Ge 3.11-3.40
Er1 0.9576 0.9152 0.2089  4 Ge 2.84-2.96
Er2 0.0424 0.0848 0.7911  4 Ge 2.84-2.96
Ge1 0.1111 0.2222 0.4095  1 Er 2.84, 1 Ac 3.11
Ge2 0.6742 0.3484 0.7953  2 Er 2.96, 1 Ac 3.29
Ge3 0.3258 0.6516 0.2047  2 Er 2.96, 1 Ac 3.29
Ge4 0.0000 0.0000 0.0000  2 Er 2.91, 4 Ac 3.16
Ge5 0.8889 0.7778 0.5905  1 Er 2.84, 1 Ac 3.11

Values from the calculation:
- Fermi-level density of states: 5.58 states/eV/f.u.
- Space-group type: No. 12
- Formation energy from the elements: -0.624 eV per atom

***

No. 5
The following is a DFT calculation (PBE) of crystalline Pm5Al4Pb at its relaxed geometry.

Cell: 3.6887 3.6887 19.3538 Å, 90.00 90.00 90.00°
With the nearest neighbours (Å) after each atom.
Fractional coordinates of all 10 atoms:
Al1 0.0000 0.0000 0.7882  8 Pm 3.21-3.24
Al2 0.0000 0.0000 0.5954  8 Pm 3.20
Al3 0.0000 0.0000 0.4046  8 Pm 3.20
Al4 0.0000 0.0000 0.2118  8 Pm 3.21-3.24
Pm1 0.5000 0.5000 0.3086  8 Al 3.20-3.21
Pm2 0.5000 0.5000 0.8871  4 Al 3.24, 4 Pb 3.40
Pm3 0.5000 0.5000 0.1129  4 Al 3.24, 4 Pb 3.40
Pm4 0.5000 0.5000 0.6914  8 Al 3.20-3.21
Pm5 0.5000 0.5000 0.5000  8 Al 3.20
Pb1 0.0000 0.0000 0.0000  8 Pm 3.40, 4 Pb 3.69

Values from the calculation:
- Fermi-level density of states: 4.47 states/eV/f.u.
- Space-group type: No. 123
- Formation energy from the elements: -0.376 eV per atom

***

Question: Which formula does entry 3 have?
Answer: TbSm4Er3

***

Repeat the second record exactly.
The following is a DFT calculation (PBE) of crystalline SiAsBr3 at its relaxed geometry.

Cell: 5.2400 5.2400 5.2400 Å, 90.00 90.00 90.00°
With the nearest neighbours (Å) after each atom.
Fractional coordinates of all 5 atoms:
Br1 0.0000 0.0000 0.5000  2 Si 2.62
Br2 0.5000 0.0000 0.0000  2 Si 2.62
Br3 0.0000 0.5000 0.0000  2 Si 2.62
As1 0.5000 0.5000 0.5000  12 Br 3.71
Si1 0.0000 0.0000 0.0000  6 Br 2.62

Values from the calculation:
- Fermi-level density of states: 5.30 states/eV/f.u.
- Space-group type: No. 221
- Raw formation energy: 0.31 eV per atom
- Polymorph energy (0 for the lowest one): 0 meV/atom

***

Question: Among the records above, which one has the lowest Fermi-level density of states?
Answer: Pm5Al4Pb